Sm3CuNi, relaxed, DFT PBE; VASP energy = -4.982 eV/atom; volume = 24.83 Å³/atom; DOS at the Fermi energy = 12.4 states/eV per cell; energy of formation = -0.175 eV/atom
1.0
1.612 4.390 4.016
3.390 -1.890 4.790
7.476 1.959 -1.275
Ni Sm Cu
2 6 2
Direct
0.691 0.309 0.000
0.309 0.691 0.000
0.689 0.689 0.143
0.992 0.992 0.240
0.691 0.691 0.667
0.008 0.008 0.760
0.309 0.309 0.333
0.311 0.311 0.857
0.691 0.309 0.500
0.309 0.691 0.500

---

Sm2Cu3Ni2, relaxed, DFT PBE; VASP energy = -4.977 eV/atom; volume = 17.20 Å³/atom; DOS at the Fermi energy = 4.5 states/eV per cell; energy of formation = -0.221 eV/atom
1.0
-2.525 -2.548 2.007
0.875 -1.534 -5.056
4.835 -1.875 3.701
Cu Ni Sm
3 2 2
Direct
0.000 0.000 0.000
0.635 0.271 0.225
0.365 0.729 0.775
0.899 0.797 0.578
0.101 0.203 0.422
0.648 0.297 0.747
0.352 0.703 0.253

---

Sm4Cu3Ni, relaxed, DFT PBE; VASP energy = -4.867 eV/atom; volume = 22.53 Å³/atom; DOS at the Fermi energy = 5.8 states/eV per cell; energy of formation = -0.248 eV/atom
1.0
-0.598 -1.415 3.522
-2.820 -3.022 -1.693
7.976 -6.697 -1.335
Sm Cu Ni
4 3 1
Direct
0.000 0.000 0.139
0.500 0.000 0.642
0.000 0.500 0.867
0.500 0.500 0.353
0.000 0.500 0.567
0.000 0.000 0.430
0.500 0.000 0.932
0.500 0.500 0.070

---

SmCu9Ni3, relaxed, DFT PBE; VASP energy = -4.634 eV/atom; volume = 13.17 Å³/atom; DOS at the Fermi energy = 6.5 states/eV per cell; energy of formation = -0.101 eV/atom
1.0
-1.411 3.100 3.450
-5.924 2.348 -0.993
-3.016 -2.964 4.836
Ni Cu Sm
3 9 1
Direct
0.500 0.500 0.000
0.500 0.000 0.500
0.000 0.000 0.500
0.000 0.500 0.000
0.992 0.351 0.645
0.363 0.649 0.645
0.637 0.351 0.355
0.275 0.224 0.226
0.725 0.776 0.774
0.501 0.224 0.774
0.499 0.776 0.226
0.008 0.649 0.355
0.000 0.000 0.000

---

Question: Among the records above, which one has the lowest VASP energy?
Answer: Sm3CuNi

---

Question: DOS at the Fermi energy of number 2 (Sm2Cu3Ni2)?
Answer: 4.5 states/eV per cell